Entry from Alexandria via LeMat-Bulk: a relaxed structure of ReIr8Ru5 (PBE).

Cell: 6.541 6.541 6.541 Å, 109.45 109.52 109.45°
Fractional coordinates of all 14 atoms:
Ru 0.278 0.092 0.977
Ru 0.884 0.908 0.186
Ru 0.023 0.302 0.116
Ru 0.500 0.000 0.500
Ru 0.814 0.698 0.722
Ir 0.560 0.937 0.867
Ir 0.930 0.063 0.623
Ir 0.133 0.693 0.070
Ir 0.377 0.307 0.440
Ir 0.506 0.591 0.233
Ir 0.643 0.409 0.916
Ir 0.084 0.727 0.494
Ir 0.767 0.273 0.357
Re 0.250 0.500 0.750

Computed properties:
- magnetic moment (μB/f.u.) = 0.000
- density of states at the Fermi level (states/eV/cell) = 17.7
- space group = I-4
- E (eV/atom) = -8.868
- energy of formation (eV per formula unit) = 5.569

Entry from Alexandria via LeMat-Bulk: a relaxed structure of Sr2ScTaAs (PBE).

Cell: 5.959 4.782 5.959 Å, 90.00 90.00 90.00°
Fractional coordinates of all 5 atoms:
Sr 0.500 0.000 0.000
Sr 0.000 0.000 0.500
As 0.500 0.500 0.500
Ta 0.000 0.500 0.000
Sc 0.000 0.000 0.000

Computed properties:
- magnetic moment (μB/f.u.) = 0.000
- density of states at the Fermi level (states/eV/cell) = 6.0
- space group = P4/mmm
- E (eV/atom) = -4.122
- energy of formation (eV per formula unit) = 5.586

Entry from Alexandria via LeMat-Bulk: a relaxed structure of Y3Te2Pb (PBE).

Cell: 7.631 7.631 7.631 Å, 120.02 99.62 99.62°
Fractional coordinates of all 12 atoms:
Pb 0.750 0.414 0.586
Pb 0.250 0.586 0.414
Y 0.501 0.340 0.179
Y 0.000 0.500 0.000
Y 0.500 0.000 0.500
Y 0.499 0.660 0.821
Y 0.001 0.179 0.340
Y 0.999 0.821 0.660
Te 0.250 0.247 0.753
Te 0.750 0.083 0.917
Te 0.250 0.917 0.083
Te 0.750 0.753 0.247

Computed properties:
- ΔE_f (raw) (eV/atom) = -1.122
- magnetic moment (μB/f.u.) = 0.000
- density of states at the Fermi level (states/eV/cell) = 2.9
- space group = C2/c
- E (eV/atom) = -6.020
- distance to the lowest polymorph of the same formula (meV/atom) = 0

Entry from Alexandria via LeMat-Bulk: a relaxed structure of BeSb4Au (PBE).

Cell: 6.125 6.125 6.125 Å, 60.00 60.00 60.00°
Fractional coordinates of all 6 atoms:
Be 0.000 0.000 0.000
Sb 0.375 0.875 0.375
Sb 0.375 0.375 0.875
Sb 0.875 0.375 0.375
Sb 0.375 0.375 0.375
Au 0.750 0.750 0.750

Computed properties:
- ΔE_f (raw) (eV/atom) = 0.818
- magnetic moment (μB/f.u.) = 0.000
- density of states at the Fermi level (states/eV/cell) = 4.8
- space group = F-43m
- E (eV/atom) = -3.098